GaCuSn | Alexandria | GGA-PBE | relaxed; E_tot = -22.4 eV for the cell shown
1.0
3.796 -2.187 0.000
3.796 2.187 0.000
-2.507 0.000 7.165
Ga Cu Sn
2 2 2
Direct
0.129 0.129 0.387
0.871 0.871 0.613
0.245 0.245 0.737
0.755 0.755 0.263
0.380 0.380 0.139
0.620 0.620 0.861

GaCuSn | Alexandria | GGA-PBE | relaxed; E_tot = -22.2 eV for the cell shown
1.0
4.184 0.000 0.000
-0.057 5.108 0.000
-0.367 -1.849 5.433
Ga Cu Sn
2 2 2
Direct
0.239 0.108 0.411
0.761 0.892 0.589
0.249 0.596 0.397
0.751 0.404 0.603
0.264 0.699 0.924
0.736 0.301 0.076

GaCuSn | Alexandria | GGA-PBE | relaxed; E_tot = -22.2 eV for the cell shown
1.0
4.027 0.000 0.000
2.003 4.612 0.000
1.930 0.850 6.205
Ga Cu Sn
2 2 2
Direct
0.000 0.000 0.000
0.219 0.101 0.458
0.672 0.900 0.754
0.948 0.704 0.399
0.406 0.484 0.700
0.649 0.549 0.149

Ga12Cu3Sn5 | Alexandria | GGA-PBE | relaxed; E_tot = -265.7 eV for the cell shown
1.0
-7.716 7.716 7.716
7.716 -7.716 7.716
7.716 7.716 -7.716
Ga Cu Sn
48 12 20
Direct
0.055 0.632 0.385
0.055 0.923 0.671
0.077 0.248 0.132
0.077 0.329 0.945
0.115 0.748 0.671
0.115 0.868 0.445
0.132 0.077 0.248
0.132 0.555 0.885
0.171 0.248 0.615
0.171 0.423 0.555
0.248 0.132 0.077
0.248 0.615 0.171
0.252 0.329 0.885
0.252 0.423 0.368
0.329 0.885 0.252
0.329 0.945 0.077
0.368 0.252 0.423
0.368 0.615 0.945
0.385 0.055 0.632
0.385 0.829 0.752
0.423 0.368 0.252
0.423 0.555 0.171
0.445 0.115 0.868
0.445 0.829 0.577
0.555 0.171 0.423
0.555 0.885 0.132
0.577 0.445 0.829
0.577 0.632 0.748
0.615 0.171 0.248
0.615 0.945 0.368
0.632 0.385 0.055
0.632 0.748 0.577
0.671 0.055 0.923
0.671 0.115 0.748
0.748 0.577 0.632
0.748 0.671 0.115
0.752 0.385 0.829
0.752 0.868 0.923
0.829 0.577 0.445
0.829 0.752 0.385
0.868 0.445 0.115
0.868 0.923 0.752
0.885 0.132 0.555
0.885 0.252 0.329
0.923 0.671 0.055
0.923 0.752 0.868
0.945 0.077 0.329
0.945 0.368 0.615
0.125 0.250 0.375
0.125 0.375 0.750
0.250 0.375 0.125
0.250 0.875 0.625
0.375 0.125 0.250
0.375 0.750 0.125
0.625 0.250 0.875
0.625 0.875 0.750
0.750 0.125 0.375
0.750 0.625 0.875
0.875 0.625 0.250
0.875 0.750 0.625
0.000 0.000 0.000
0.000 0.000 0.500
0.000 0.500 0.000
0.000 0.500 0.500
0.125 0.750 0.875
0.125 0.875 0.250
0.250 0.125 0.875
0.250 0.625 0.375
0.375 0.250 0.625
0.375 0.625 0.750
0.500 0.000 0.000
0.500 0.000 0.500
0.500 0.500 0.000
0.500 0.500 0.500
0.625 0.375 0.250
0.625 0.750 0.375
0.750 0.375 0.625
0.750 0.875 0.125
0.875 0.125 0.750
0.875 0.250 0.125

GaCuSn | Alexandria | GGA-PBE | relaxed; E_tot = -44.6 eV for the cell shown
1.0
7.877 0.000 0.000
0.000 4.157 0.000
0.000 0.000 7.162
Ga Cu Sn
4 4 4
Direct
0.014 0.250 0.232
0.486 0.750 0.732
0.514 0.250 0.268
0.986 0.750 0.768
0.079 0.250 0.578
0.421 0.750 0.078
0.579 0.250 0.922
0.921 0.750 0.422
0.224 0.250 0.922
0.276 0.750 0.422
0.724 0.250 0.578
0.776 0.750 0.078

GaCuSn | Alexandria | GGA-PBE | relaxed; E_tot = -22.1 eV for the cell shown
1.0
4.153 0.000 0.000
0.000 6.121 0.000
0.000 0.000 4.720
Ga Cu Sn
2 2 2
Direct
0.000 0.217 0.000
0.000 0.783 0.000
0.000 0.500 0.387
0.500 0.500 0.056
0.500 0.239 0.557
0.500 0.761 0.557

| no. | energy of formation (eV/atom) |
| --- | --- |
| 1 | -0.025 |
| 2 | 0.001 |
| 3 | 0.010 |
| 4 | 0.110 |
| 5 | -0.005 |
| 6 | 0.032 |